Computed, not measured: a relaxed La2MgGeN crystal at the GGA-PBE level of DFT.

Properties
* magnetic moment: 0.000 μB/atom
* theoretical density: 5739 kg/m3
* formation energy without anion corrections: -80.7 kJ/mol of atoms
* DOS at the Fermi energy: 2.7 states/eV/f.u.

Cell lengths 5.095, 5.095, 4.334 Å; angles 90.00, 90.00, 90.00 degrees
Fractional positions:
1 Ge 0.500 0.500 0.500
2 N 0.000 0.000 0.000
3 Mg 0.000 0.000 0.500
4 La 0.000 0.500 0.000
5 La 0.500 0.000 0.000